No. 1
VASP calculation (GGA-PBE) on a relaxed structure of Tb3Rh2Pb.

Lattice parameters (Å, degrees): 3.436 3.436 11.781 90.00 90.00 90.00
Fractional positions:
Tb  0.000  0.000  0.000
Tb  0.000  0.000  0.706
Tb  0.000  0.000  0.294
Rh  0.500  0.500  0.849
Rh  0.500  0.500  0.151
Pb  0.500  0.500  0.500

- Calculated density: 10.625 g cm⁻³
- Electronic total energy: -6.11 eV per atom

No. 2
VASP calculation (GGA-PBE) on a relaxed structure of Tb4RhPb.

Lattice parameters (Å, degrees): 6.093 8.628 8.130 114.91 102.70 106.97
Fractional positions:
Tb  0.052  0.211  0.856
Tb  0.786  0.717  0.659
Tb  0.303  0.645  0.856
Tb  0.373  0.941  0.659
Tb  0.627  0.059  0.341
Tb  0.697  0.355  0.144
Tb  0.214  0.283  0.341
Tb  0.948  0.789  0.144
Rh  0.250  0.000  0.000
Rh  0.750  0.000  0.000
Pb  0.378  0.628  0.256
Pb  0.622  0.372  0.744

- Calculated density: 9.222 g cm⁻³
- Electronic total energy: -5.43 eV per atom